[1]
Th2SbAu, optimized geometry, DFT PBE; final energy = -6.212 eV/atom; SG = P4/mmm; raw formation energy = -0.6519 eV per atom
1.0
3.950 0.000 0.000
0.000 3.950 0.000
0.000 0.000 6.991
Sb Th Au
1 2 1
Direct
0.500 0.500 0.500 Sb
0.000 0.000 0.753 Th
0.000 0.000 0.247 Th
0.500 0.500 0.000 Au



[2]
Th4Sb5Au, optimized geometry, DFT PBE; final energy = -6.040 eV/atom; SG = Immm; raw formation energy = -0.6830 eV per atom
1.0
4.338 0.000 1.197
1.908 8.178 1.546
-0.020 0.193 8.536
Th Sb Au
4 5 1
Direct
0.002 0.248 0.248 Th
0.498 0.752 0.752 Th
0.250 0.287 0.713 Th
0.250 0.713 0.287 Th
0.907 0.662 0.024 Sb
0.593 0.976 0.338 Sb
0.907 0.024 0.662 Sb
0.750 0.500 0.500 Sb
0.593 0.338 0.976 Sb
0.250 0.000 0.000 Au